No. 1
# Ca4YAs

A geometry-optimized Ca4YAs structure (PBE-GGA, Alexandria via LeMat-Bulk). Values from VASP.

Results
ΔH_f (0 K) ... 29.7 kJ/mol of atoms
N(E_F) ... 0.994 states/eV per atom

The structure in Quantum ESPRESSO input format:
```
&SYSTEM
  ibrav = 0, nat = 6, ntyp = 3
/
ATOMIC_SPECIES
Y 88.91 Y.upf
Ca 40.08 Ca.upf
As 74.92 As.upf
CELL_PARAMETERS angstrom
4.2298 -3.4095 3.8859
-2.3200 -4.6931 4.1483
1.2144 -6.4500 -1.2403
ATOMIC_POSITIONS crystal
Y 0.7500 0.7500 0.7500
Ca 0.3754 0.3754 0.8739
As 0.0000 0.0000 0.0000
Ca 0.3754 0.8739 0.3754
Ca 0.8739 0.3754 0.3754
Ca 0.3754 0.3754 0.3754
```

No. 2
# CsHg3Ge

A geometry-optimized CsHg3Ge structure (PBE-GGA, Alexandria via LeMat-Bulk). Values from VASP.

Results
ΔH_f (0 K) ... 62.2 kJ/mol of atoms
N(E_F) ... 0.764 states/eV per atom
Energy above the most stable polymorph in this dataset ... 697 meV per atom

The structure in Quantum ESPRESSO input format:
```
&SYSTEM
  ibrav = 0, nat = 5, ntyp = 3
/
ATOMIC_SPECIES
Hg 200.59 Hg.upf
Ge 72.64 Ge.upf
Cs 132.91 Cs.upf
CELL_PARAMETERS angstrom
7.1012 0.0000 0.0000
0.0000 7.1012 0.0000
0.0000 0.0000 7.1012
ATOMIC_POSITIONS crystal
Hg 0.0000 0.0000 0.5000
Hg 0.5000 0.0000 0.0000
Ge 0.5000 0.5000 0.5000
Cs 0.0000 0.0000 0.0000
Hg 0.0000 0.5000 0.0000
```